[1]
Compound: K2TlSeCl
Source: Alexandria
Functional: GGA-PBEsol
Structure: optimized geometry

Computed properties:
* raw formation energy: -836 meV per atom
* ρ: 3.67 g cm⁻³
* total magnetization: 0.000 μB/atom

Cell and atoms, written as extended XYZ:
```
5
Lattice="5.5885 0.0000 0.0000 0.0000 5.5885 0.0000 0.0000 0.0000 5.7532" Properties=species:S:1:pos:R:3 pbc="T T T"
Tl 0.0000 0.0000 2.8766
K 0.0000 2.7942 0.0000
K 2.7942 0.0000 0.0000
Se 2.7942 2.7942 2.8766
Cl 0.0000 0.0000 0.0000
```

=====

[2]
Compound: TaAsSe2S
Source: Alexandria
Functional: GGA-PBEsol
Structure: optimized geometry

Computed properties:
* DOS at the Fermi energy: 2.93 states/eV per cell
* raw formation energy: 883 meV per atom
* ρ: 7.49 g cm⁻³
* total magnetization: 0.266 μB/atom

Cell and atoms, written as extended XYZ:
```
5
Lattice="4.6608 0.0000 0.0000 0.0000 4.6608 0.0000 0.0000 0.0000 4.5527" Properties=species:S:1:pos:R:3 pbc="T T T"
As 0.0000 0.0000 2.2764
S 0.0000 0.0000 0.0000
Se 0.0000 2.3304 0.0000
Se 2.3304 0.0000 0.0000
Ta 2.3304 2.3304 2.2764
```

=====

[3]
Compound: Sr2MnIr
Source: Alexandria
Functional: GGA-PBEsol
Structure: optimized geometry

Computed properties:
* DOS at the Fermi energy: 2.17 states/eV per cell
* DFT formation energy: 0.96 eV per formula unit
* ρ: 6.59 g cm⁻³
* total magnetization: 0.951 μB/atom

Cell and atoms, written as extended XYZ:
```
4
Lattice="3.4805 0.0000 0.0000 0.0000 3.4823 0.0000 0.0000 0.0000 8.7867" Properties=species:S:1:pos:R:3 pbc="T T T"
Ir 0.0000 0.0000 5.1059
Mn 1.7402 1.7412 5.8373
Sr 0.0000 0.0000 8.1018
Sr 1.7402 1.7412 2.9219
```

=====

[4]
Compound: DyZn5
Source: Alexandria
Functional: GGA-PBEsol
Structure: optimized geometry

Computed properties:
* DOS at the Fermi energy: 2.09 states/eV per cell
* DFT formation energy: -1.84 eV per formula unit
* ρ: 8.39 g cm⁻³
* total magnetization: 0.000 μB/atom

Cell and atoms, written as extended XYZ:
```
6
Lattice="4.1447 0.0000 0.0000 0.0000 5.1941 0.0000 0.0000 -2.5970 4.4982" Properties=species:S:1:pos:R:3 pbc="T T T"
Zn 2.0724 2.5970 0.0000
Zn 0.0000 0.0000 2.9988
Zn 0.0000 2.5970 1.4994
Zn 2.0724 -1.2985 2.2491
Zn 2.0724 1.2985 2.2491
Dy 0.0000 0.0000 0.0000
```